The following is a PBE calculation of a relaxed structure of MnTl3Se, from Alexandria.

Cell: 5.867 5.867 5.867 Å, 90.00 90.00 90.00°
Atoms (fractional coordinates):
Mn: 0.000 0.000 0.000
Tl: 0.000 0.500 0.500
Tl: 0.500 0.000 0.500
Tl: 0.500 0.500 0.000
Se: 0.500 0.500 0.500

Results
Energy relative to the lowest polymorph listed for this composition (meV per atom): 359.8
Density of states at the Fermi level (states/eV/atom): 1.09
E_form (uncorrected) (meV/atom): 656